P.
Here is an optimized crystal structure of RbSn2Hg4 from Alexandria. Energies are from PBE.

- calculated density (g cm⁻³) = 7.17

abc: 9.0746 5.2404 10.9601
angles: 90.00 90.06 90.00
Closest atoms and distances in Å follow each position.
Space group C2/m (No. 12)
Asymmetric unit:
Rb 0.0000 0.0000 0.0000 (multiplicity 2)  12 Hg 3.87
Sn 0.1667 0.5000 0.5002 (multiplicity 4)  3 Sn 3.03, 2 Hg 3.06-3.07
Hg 0.1662 0.5000 0.7800 (multiplicity 4)  3 Hg 3.02-3.03, 1 Sn 3.07
Hg 0.1671 0.5000 0.2206 (multiplicity 4)  3 Hg 3.02-3.03, 1 Sn 3.06

---

Q.
Here is an optimized crystal structure of RbSn2Hg4 from Alexandria. Energies are from PBE.

- calculated density (g cm⁻³) = 8.51

abc: 5.2325 15.2072 5.5172
angles: 90.00 90.00 90.00
Closest atoms and distances in Å follow each position.
Space group Cmmm (No. 65)
Asymmetric unit:
Rb 0.0000 0.0000 0.0000 (multiplicity 2)  8 Hg 3.89-3.97, 8 Sn 4.08
Sn 0.0000 0.4034 0.5000 (multiplicity 4)  4 Hg 2.91-3.15, 1 Sn 2.94
Hg 0.0000 0.1800 0.5000 (multiplicity 4)  2 Sn 2.91
Hg 0.0000 0.3038 0.0000 (multiplicity 4)  4 Hg 3.09-3.34, 2 Sn 3.15

---

Q: Which of them is the least stable? A: P.

---

P.
Here is an optimized crystal structure of Rb2SnHg2 from Alexandria. Energies are from PBE.

- calculated density (g cm⁻³) = 5.88

abc: 10.4363 10.4363 3.5817
angles: 90.00 90.00 90.00
Closest atoms and distances in Å follow each position.
Space group P4/mbm (No. 127)
Asymmetric unit:
Rb 0.1870 0.3130 0.0000 (multiplicity 4)  6 Hg 3.54-3.64, 2 Rb 3.58, 2 Sn 3.81
Sn 0.0000 0.0000 0.0000 (multiplicity 2)  2 Sn 3.58, 4 Rb 3.81
Hg 0.1059 0.6059 0.5000 (multiplicity 4)  1 Hg 3.13

---

Q.
Here is an optimized crystal structure of Rb2SnHg2 from Alexandria. Energies are from PBE.

- calculated density (g cm⁻³) = 5.41

abc: 5.5387 5.5387 13.8335
angles: 90.00 90.00 90.00
Closest atoms and distances in Å follow each position.
Space group I4/mmm (No. 139)
Asymmetric unit:
Rb 0.0000 0.5000 0.2500 (multiplicity 4)  4 Hg 3.45
Sn 0.0000 0.0000 0.0000 (multiplicity 2)  8 Hg 4.16, 8 Rb 4.43
Hg 0.0000 0.0000 0.3988 (multiplicity 4)  1 Hg 2.80

---

Q: Which of them is the least stable? A: Q.

---

P.
Here is an optimized crystal structure of Rb2SnHg2 from Alexandria. Energies are from PBE.

- calculated density (g cm⁻³) = 6.11

abc: 11.8176 7.0039 9.2991
angles: 90.00 102.49 90.00
Closest atoms and distances in Å follow each position.
Space group C2/c (No. 15)
Asymmetric unit:
Rb 0.1495 0.1227 0.1510 (multiplicity 8)  6 Hg 3.62-3.80, 1 Sn 4.04
Sn 0.0000 0.3757 0.7500 (multiplicity 4)  4 Hg 3.04-3.10
Hg 0.1320 0.3729 0.4964 (multiplicity 8)  2 Sn 3.04-3.10, 1 Hg 3.27

---

Q.
Here is an optimized crystal structure of Rb2SnHg2 from Alexandria. Energies are from PBE.

- calculated density (g cm⁻³) = 6.15

abc: 7.9751 7.9751 5.8660
angles: 90.00 90.00 90.00
Closest atoms and distances in Å follow each position.
Space group P4/mbm (No. 127)
Asymmetric unit:
Rb 0.1775 0.3225 0.0000 (multiplicity 4)  6 Hg 3.59-3.88, 1 Rb 4.00
Sn 0.0000 0.0000 0.5000 (multiplicity 2)  4 Hg 3.08
Hg 0.1394 0.6394 0.5000 (multiplicity 4)  2 Sn 3.08, 1 Hg 3.15

---

Q: Which of them is the least stable? A: Q.

---

P.
Here is an optimized crystal structure of RbSn3Hg from Alexandria. Energies are from PBE.

- calculated density (g cm⁻³) = 4.34

abc: 6.2611 6.2611 6.2611
angles: 90.00 90.00 90.00
Closest atoms and distances in Å follow each position.
Space group Pm-3m (No. 221)
Asymmetric unit:
Rb 0.0000 0.0000 0.0000 (multiplicity 1)  6 Sn 3.13
Sn 0.0000 0.0000 0.5000 (multiplicity 3)  2 Rb 3.13
Hg 0.5000 0.5000 0.5000 (multiplicity 1)  12 Sn 4.43

---

Q.
Here is an optimized crystal structure of RbSn3Hg from Alexandria. Energies are from PBE.

- calculated density (g cm⁻³) = 5.51

abc: 5.7828 5.7828 5.7828
angles: 90.00 90.00 90.00
Closest atoms and distances in Å follow each position.
Space group Pm-3m (No. 221)
Asymmetric unit:
Rb 0.0000 0.0000 0.0000 (multiplicity 1)  12 Sn 4.09
Sn 0.0000 0.5000 0.5000 (multiplicity 3)  2 Hg 2.89
Hg 0.5000 0.5000 0.5000 (multiplicity 1)  6 Sn 2.89

---

Q: Which of them is the least stable? A: P.

---

P.
Here is an optimized crystal structure of RbSn3Hg from Alexandria. Energies are from PBE.

- calculated density (g cm⁻³) = 6.54

abc: 6.7532 6.9858 6.9082
angles: 90.00 90.00 90.00
Closest atoms and distances in Å follow each position.
Space group Pmn2_1 (No. 31)
Asymmetric unit:
Rb 0.0000 0.2342 0.0000 (multiplicity 2)  3 Hg 3.39-3.65, 3 Sn 3.54-3.71
Sn 0.0000 0.6000 0.3557 (multiplicity 2)  1 Hg 2.91, 4 Sn 3.11-3.15
Sn 0.2388 0.7420 0.9910 (multiplicity 4)  2 Hg 3.11-3.22, 3 Sn 3.11-3.23
Hg 0.0000 0.9181 0.6283 (multiplicity 2)  5 Sn 2.91-3.22

---

Q.
Here is an optimized crystal structure of RbSn3Hg from Alexandria. Energies are from PBE.

- calculated density (g cm⁻³) = 6.57

abc: 4.9612 5.3968 12.1230
angles: 90.00 90.00 90.00
Closest atoms and distances in Å follow each position.
Space group Imm2 (No. 44)
Asymmetric unit:
Rb 0.0000 0.0000 0.0000 (multiplicity 2)  12 Sn 3.81-4.16, 4 Hg 3.94
Sn 0.0000 0.0000 0.6184 (multiplicity 2)  1 Hg 2.89, 4 Sn 3.03-3.10
Sn 0.0000 0.5000 0.2613 (multiplicity 2)  2 Sn 3.03, 2 Hg 3.06
Sn 0.0000 0.5000 0.7440 (multiplicity 2)  2 Hg 2.98, 2 Sn 3.10
Hg 0.0000 0.0000 0.3800 (multiplicity 2)  5 Sn 2.89-3.06

---

Q: Which of them is the least stable? A: P.

---

P.
Here is an optimized crystal structure of RbSnHgTe2 from Alexandria. Energies are from PBE.

- calculated density (g cm⁻³) = 5.41

abc: 5.9398 5.9398 5.7404
angles: 90.00 90.00 90.00
Closest atoms and distances in Å follow each position.
Space group P4/mmm (No. 123)
Asymmetric unit:
Rb 0.0000 0.0000 0.0000 (multiplicity 1)  8 Te 4.13, 4 Hg 4.20
Sn 0.5000 0.5000 0.5000 (multiplicity 1)  2 Hg 2.87, 4 Te 2.97
Hg 0.5000 0.5000 0.0000 (multiplicity 1)  2 Sn 2.87
Te 0.0000 0.5000 0.5000 (multiplicity 2)  2 Sn 2.97

---

Q.
Here is an optimized crystal structure of RbSnHgTe2 from Alexandria. Energies are from PBE.

- calculated density (g cm⁻³) = 4.63

abc: 5.8212 5.8212 6.9854
angles: 90.00 90.00 90.00
Closest atoms and distances in Å follow each position.
Space group P4/mmm (No. 123)
Asymmetric unit:
Rb 0.0000 0.0000 0.0000 (multiplicity 1)  2 Sn 3.49
Sn 0.0000 0.0000 0.5000 (multiplicity 1)  4 Te 2.91
Hg 0.5000 0.5000 0.0000 (multiplicity 1)  4 Rb 4.12, 8 Te 4.55
Te 0.0000 0.5000 0.5000 (multiplicity 2)  2 Sn 2.91

---

Q: Which of them is the least stable? A: Q.

---

P.
Here is an optimized crystal structure of RbSrHg3 from Alexandria. Energies are from PBE.

- calculated density (g cm⁻³) = 5.30

abc: 6.2373 6.2373 6.2373
angles: 90.00 90.00 90.00
Closest atoms and distances in Å follow each position.
Space group Pm-3m (No. 221)
Asymmetric unit:
Rb 0.0000 0.0000 0.0000 (multiplicity 1)  6 Hg 3.12
Sr 0.5000 0.5000 0.5000 (multiplicity 1)  12 Hg 4.41
Hg 0.0000 0.0000 0.5000 (multiplicity 3)  2 Rb 3.12

---

Q.
Here is an optimized crystal structure of RbSrHg3 from Alexandria. Energies are from PBE.

- calculated density (g cm⁻³) = 5.13

abc: 6.3084 6.3084 6.3084
angles: 90.00 90.00 90.00
Closest atoms and distances in Å follow each position.
Space group Pm-3m (No. 221)
Asymmetric unit:
Rb 0.0000 0.0000 0.0000 (multiplicity 1)  12 Hg 4.46
Sr 0.5000 0.5000 0.5000 (multiplicity 1)  6 Hg 3.15
Hg 0.0000 0.5000 0.5000 (multiplicity 3)  2 Sr 3.15

---

Q: Which of them is the least stable? A: P.